# 1
# SrZr2S4 | Alexandria via LeMat-Bulk | PBE | optimized geometry
# Magnetic moment (μB/f.u.): 0.00
# Formation energy (no corrections) (meV/atom): -1705
# Calculated volume (Å³ per cell): 615
# Calculated total energy (eV per atom): -6.747
# Theoretical density (g cm⁻³): 4.30
data_SrZr2S4
_space_group_name_H-M_alt 'C m c m'
_space_group_IT_number 63
_space_group_name_Hall '-C 2c 2'
_cell_length_a 3.847
_cell_length_b 12.325
_cell_length_c 12.974
_cell_angle_alpha 90.00
_cell_angle_beta 90.00
_cell_angle_gamma 90.00
loop_
_atom_site_label
_atom_site_type_symbol
_atom_site_fract_x
_atom_site_fract_y
_atom_site_fract_z
Sr1 Sr 0.000 0.118 0.250
Zr1 Zr 0.000 0.378 0.061
S1 S 0.000 0.000 0.000
S2 S 0.000 0.266 0.611
S3 S 0.000 0.435 0.250



# 2
# PmPd7Au4 | Alexandria via LeMat-Bulk | PBE | optimized geometry
# Magnetic moment (μB/f.u.): 0.00
# Energy above the most stable polymorph in this dataset (meV/atom): 0
# Calculated volume (Å³ per cell): 207
# Calculated total energy (eV per atom): -4.829
# Theoretical density (g cm⁻³): 13.48
# Energy of formation from the pure elements (kJ per mole of atoms): -30.1
data_PmPd7Au4
_space_group_name_H-M_alt 'P -1'
_space_group_IT_number 2
_space_group_name_Hall '-P 1'
_cell_length_a 4.985
_cell_length_b 5.836
_cell_length_c 7.685
_cell_angle_alpha 101.89
_cell_angle_beta 108.70
_cell_angle_gamma 90.07
loop_
_atom_site_label
_atom_site_type_symbol
_atom_site_fract_x
_atom_site_fract_y
_atom_site_fract_z
Pm1 Pm 0.000 0.000 0.000
Pd1 Pd 0.000 0.500 0.000
Pd2 Pd 0.001 0.667 0.667
Pd3 Pd 0.494 0.918 0.666
Pd4 Pd 0.500 0.257 0.000
Au1 Au 0.004 0.174 0.662
Au2 Au 0.494 0.578 0.330



# 3
# ZrPt2Cl | Alexandria via LeMat-Bulk | PBE | optimized geometry
# Magnetic moment (μB/f.u.): 0.00
# Formation energy (no corrections) (meV/atom): -397
# Energy above the most stable polymorph in this dataset (meV/atom): 265
# Calculated volume (Å³ per cell): 70
# Calculated total energy (eV per atom): -6.016
# Theoretical density (g cm⁻³): 12.19
data_ZrPt2Cl
_space_group_name_H-M_alt 'P m m m'
_space_group_IT_number 47
_space_group_name_Hall '-P 2 2'
_cell_length_a 3.010
_cell_length_b 4.473
_cell_length_c 5.230
_cell_angle_alpha 90.00
_cell_angle_beta 90.00
_cell_angle_gamma 90.00
loop_
_atom_site_label
_atom_site_type_symbol
_atom_site_fract_x
_atom_site_fract_y
_atom_site_fract_z
Zr1 Zr 0.000 0.000 0.000
Pt1 Pt 0.000 0.500 0.500
Pt2 Pt 0.500 0.000 0.500
Cl1 Cl 0.500 0.500 0.000



Question: The lowest calculated total energy belongs to which entry?
Answer: SrZr2S4



Question: What is the formula in the third record?
Answer: ZrPt2Cl